# ScZnCrS4 PBE optimized geometry
data_ScZnCrS4
_chemical_formula_sum 'Sc4 Zn4 Cr4 S16'
_cell_length_a 7.2555
_cell_length_b 7.3028
_cell_length_c 10.2760
_cell_angle_alpha 90.00
_cell_angle_beta 90.00
_cell_angle_gamma 90.00
_symmetry_space_group_name_H-M 'I m m a'
_symmetry_Int_Tables_number 74
_symmetry_space_group_name_Hall '-I 2b 2'
loop_
_atom_site_label
_atom_site_fract_x
_atom_site_fract_y
_atom_site_fract_z
Sc1 0.2500 0.2500 0.2500
Zn1 0.0000 0.2500 0.6285
Cr1 0.0000 0.0000 0.0000
S1 0.0000 0.0064 0.2360
S2 0.2259 0.2500 0.9998
# **Formation energy from raw total energies**: -1.145 eV per atom

# Zr2ScCrS6 PBE optimized geometry
data_Zr2ScCrS6
_chemical_formula_sum 'Zr6 Sc3 Cr3 S18'
_cell_length_a 6.3331
_cell_length_b 6.3331
_cell_length_c 17.7633
_cell_angle_alpha 90.00
_cell_angle_beta 90.00
_cell_angle_gamma 120.00
_symmetry_space_group_name_H-M 'R 3'
_symmetry_Int_Tables_number 146
_symmetry_space_group_name_Hall 'R 3'
loop_
_atom_site_label
_atom_site_fract_x
_atom_site_fract_y
_atom_site_fract_z
Zr1 0.0000 0.0000 0.0000
Zr2 0.0000 0.0000 0.4992
Sc1 0.0000 0.0000 0.3158
Cr1 0.0000 0.0000 0.8172
S1 0.0045 0.3483 0.0748
S2 0.0055 0.6918 0.9044
# **Formation energy from raw total energies**: -1.358 eV per atom

# Cr4Se3S3 PBE optimized geometry
data_Cr4Se3S3
_chemical_formula_sum 'Cr12 Se9 S9'
_cell_length_a 6.1563
_cell_length_b 6.1563
_cell_length_c 16.6585
_cell_angle_alpha 90.00
_cell_angle_beta 90.00
_cell_angle_gamma 120.00
_symmetry_space_group_name_H-M 'R 3'
_symmetry_Int_Tables_number 146
_symmetry_space_group_name_Hall 'R 3'
loop_
_atom_site_label
_atom_site_fract_x
_atom_site_fract_y
_atom_site_fract_z
Cr1 0.0000 0.0000 0.0000
Cr2 0.0000 0.0000 0.1555
Cr3 0.0000 0.0000 0.3417
Cr4 0.0000 0.0000 0.6709
Se1 0.0019 0.3407 0.9157
S1 0.0163 0.6722 0.7446
# **Formation energy from raw total energies**: -0.582 eV per atom

# CrSeS3 PBE optimized geometry
data_CrSeS3
_chemical_formula_sum 'Cr1 Se1 S3'
_cell_length_a 4.4552
_cell_length_b 4.4552
_cell_length_c 4.4552
_cell_angle_alpha 90.00
_cell_angle_beta 90.00
_cell_angle_gamma 90.00
_symmetry_space_group_name_H-M 'P m -3 m'
_symmetry_Int_Tables_number 221
_symmetry_space_group_name_Hall '-P 4 2 3'
loop_
_atom_site_label
_atom_site_fract_x
_atom_site_fract_y
_atom_site_fract_z
Cr1 0.0000 0.0000 0.0000
Se1 0.5000 0.5000 0.5000
S1 0.0000 0.0000 0.5000
# **Energy above the most stable polymorph in this dataset**: 2.69 eV/f.u.
# **Formation energy from raw total energies**: 0.350 eV per atom

Number 1 is which compound?
ScZnCrS4